A geometry-optimized Ti2MnAl structure, computed with PBE.

Structure (POSCAR):
```
Ti2MnAl
1.0
3.064 0.000 0.000
0.000 3.064 0.000
0.000 0.000 6.234
Ti Mn Al
2 1 1
Direct
0.000 0.000 0.224
0.000 0.000 0.776
0.500 0.500 0.000
0.500 0.500 0.500
```

Results
- V: 58.5 Å³/f.u.

A geometry-optimized Pm2Dy3Er5 structure, computed with PBE.

Structure (POSCAR):
```
Pm2Dy3Er5
1.0
5.283 -7.896 0.000
5.283 7.896 0.000
-5.266 0.000 7.768
Pm Dy Er
4 6 10
Direct
0.014 0.270 0.047
0.270 0.014 0.547
0.730 0.986 0.453
0.986 0.730 0.953
0.021 0.979 0.750
0.220 0.466 0.450
0.466 0.220 0.950
0.534 0.780 0.050
0.780 0.534 0.550
0.979 0.021 0.250
0.145 0.390 0.779
0.231 0.769 0.750
0.275 0.725 0.250
0.390 0.145 0.279
0.474 0.526 0.250
0.526 0.474 0.750
0.610 0.855 0.721
0.725 0.275 0.750
0.769 0.231 0.250
0.855 0.610 0.221
```

Results
- V: 324.0 Å³/f.u.
- ΔE to the lowest computed polymorph: 177 meV/atom

A geometry-optimized AcNdY2 structure, computed with PBE.

Structure (POSCAR):
```
AcNdY2
1.0
3.736 -5.090 0.000
3.736 5.090 0.000
0.000 0.000 3.759
Ac Nd Y
1 1 2
Direct
0.000 0.000 0.000
0.500 0.500 0.000
0.000 0.500 0.500
0.500 0.000 0.500
```

Results
- V: 143.0 Å³/f.u.
- ΔE to the lowest computed polymorph: 8 meV/atom

A geometry-optimized LaCr3 structure, computed with PBE.

Structure (POSCAR):
```
LaCr3
1.0
4.160 0.000 0.000
0.000 4.160 0.000
0.000 0.000 4.160
La Cr
1 3
Direct
0.000 0.000 0.000
0.000 0.500 0.500
0.500 0.000 0.500
0.500 0.500 0.000
```

Results
- V: 72.0 Å³/f.u.

A geometry-optimized Ca3PrP3 structure, computed with PBE.

Structure (POSCAR):
```
Ca3PrP3
1.0
8.822 0.000 0.000
0.000 8.822 0.000
0.000 0.000 8.822
Ca Pr P
12 4 12
Direct
0.063 0.437 0.563
0.182 0.182 0.182
0.186 0.814 0.314
0.314 0.186 0.814
0.318 0.818 0.682
0.437 0.563 0.063
0.563 0.063 0.437
0.682 0.318 0.818
0.686 0.686 0.686
0.814 0.314 0.186
0.818 0.682 0.318
0.937 0.937 0.937
0.063 0.563 0.937
0.437 0.437 0.437
0.563 0.937 0.063
0.937 0.063 0.563
0.000 0.251 0.872
0.000 0.751 0.628
0.128 0.500 0.249
0.249 0.128 0.500
0.251 0.872 0.000
0.372 0.500 0.749
0.500 0.249 0.128
0.500 0.749 0.372
0.628 0.000 0.751
0.749 0.372 0.500
0.751 0.628 0.000
0.872 0.000 0.251
```

Results
- V: 171.6 Å³/f.u.

A geometry-optimized Pm2HoIr9 structure, computed with PBE.

Structure (POSCAR):
```
Pm2HoIr9
1.0
2.667 1.540 8.863
-2.667 1.540 8.863
0.000 -3.079 8.863
Pm Ho Ir
2 1 9
Direct
0.139 0.139 0.139
0.861 0.861 0.861
0.000 0.000 0.000
0.083 0.580 0.580
0.332 0.332 0.332
0.420 0.420 0.917
0.420 0.917 0.420
0.500 0.500 0.500
0.580 0.083 0.580
0.580 0.580 0.083
0.668 0.668 0.668
0.917 0.420 0.420
```

Results
- V: 218.4 Å³/f.u.

In g cm⁻³, the calculated density values for the records above are, in order, 5.0 8.3 6.4 6.8 3.4 16.6.
In eV/atom, the calculated formation energy values for the records above are, in order, -0.369 0.197 0.035 0.984 -1.238 -0.536.
In μB/cell, the total moment values for the records above are, in order, 0.0 0.0 0.0 7.8 0.0 0.0.